LaPmPr2Nd4 | PBE | relaxed

Properties
Energy relative to the elements in meV per atom: 15
Electronic total energy in eV for the cell shown: -38.2

Unit cell a=6.3902 b=3.7037 c=12.2868 alpha=90.00 beta=100.34 gamma=90.00
Fractional coordinates of all 8 atoms:
La 0.0000 0.0000 0.0000
Pm 0.5000 0.5000 0.0000
Pr 0.0000 0.5000 0.5000
Pr 0.5000 0.0000 0.5000
Nd 0.2494 0.5000 0.2501
Nd 0.2512 0.0000 0.7507
Nd 0.7488 0.0000 0.2493
Nd 0.7506 0.5000 0.7499


HgMoIr2 | PBE | relaxed

Properties
Energy relative to the elements in meV per atom: -2
Electronic total energy in eV for the cell shown: -28.9

Unit cell a=2.8632 b=2.8632 c=7.9673 alpha=90.00 beta=90.00 gamma=90.00
Fractional coordinates of all 4 atoms:
Hg 0.0000 0.0000 0.0000
Mo 0.0000 0.0000 0.5000
Ir 0.5000 0.5000 0.2761
Ir 0.5000 0.5000 0.7239


Nd3HgN2 | PBE | relaxed

Properties
Energy relative to the elements, uncorrected in eV per atom: -0.944
Electronic total energy in eV for the cell shown: -73.8

Unit cell a=3.5398 b=11.8922 c=6.1896 alpha=90.00 beta=90.00 gamma=90.00
Fractional coordinates of all 12 atoms:
Nd 0.0000 0.0836 0.0000
Nd 0.0000 0.9164 0.5000
Nd 0.5000 0.1672 0.5202
Nd 0.5000 0.3678 0.9170
Nd 0.5000 0.6322 0.4170
Nd 0.5000 0.8328 0.0202
Hg 0.0000 0.3903 0.3604
Hg 0.0000 0.6097 0.8604
N 0.0000 0.2559 0.7659
N 0.0000 0.7441 0.2659
N 0.5000 0.0026 0.2606
N 0.5000 0.9974 0.7606